1.
{"formula": "Rb3Ac3AlS8", "functional": "GGA-PBE", "state": "optimized geometry", "lattice_angstrom": [[-4.159, 1.026, -7.374], [5.309, -6.607, 1.015], [-8.108, -0.294, 4.533]], "species": ["Rb", "Rb", "Rb", "Ac", "Ac", "Ac", "Al", "S", "S", "S", "S", "S", "S", "S", "S"], "frac_coords": [[0.000, 0.000, 0.000], [0.000, 0.500, 0.000], [0.500, 0.500, 0.000], [0.500, 0.000, 0.500], [0.500, 0.500, 0.500], [0.000, 0.500, 0.500], [0.000, 0.000, 0.500], [0.264, 0.529, 0.293], [0.736, 0.471, 0.707], [0.798, 0.595, 0.320], [0.202, 0.405, 0.680], [0.798, 0.023, 0.320], [0.202, 0.977, 0.680], [0.225, 0.023, 0.320], [0.775, 0.977, 0.680]], "spacegroup": "No. 12", "crystal_system": "monoclinic", "formation_energy_uncorrected_mev_per_atom": -1520, "e_tot_ev_per_atom": -4.986, "magnetic_moment_mub_per_fu": 0.8, "vol_a3_per_atom": 33.11, "n_ef_per_ev_cell": 19.6}

***

2.
{"formula": "Rb3Ac3AlSe8", "functional": "GGA-PBE", "state": "optimized geometry", "lattice_angstrom": [[8.852, 0.001, 0.000], [-4.425, 7.678, -0.034], [0.000, -5.087, 8.248]], "species": ["Rb", "Rb", "Rb", "Ac", "Ac", "Ac", "Al", "Se", "Se", "Se", "Se", "Se", "Se", "Se", "Se"], "frac_coords": [[0.000, 0.000, 0.000], [0.000, 0.500, 0.000], [0.500, 0.500, 0.000], [0.500, 0.000, 0.500], [0.500, 0.500, 0.500], [0.000, 0.500, 0.500], [0.000, 0.000, 0.500], [0.263, 0.526, 0.289], [0.737, 0.474, 0.711], [0.795, 0.590, 0.316], [0.205, 0.410, 0.684], [0.795, 0.021, 0.315], [0.205, 0.979, 0.685], [0.226, 0.021, 0.315], [0.774, 0.979, 0.685]], "spacegroup": "No. 12", "crystal_system": "monoclinic", "formation_energy_uncorrected_mev_per_atom": -1446, "e_tot_ev_per_atom": -4.569, "magnetic_moment_mub_per_fu": 0.0, "vol_a3_per_atom": 37.27, "n_ef_per_ev_cell": 21.1}

***

3.
{"formula": "AcAl11Re", "functional": "GGA-PBE", "state": "optimized geometry", "lattice_angstrom": [[-2.929, -3.067, -3.236], [-1.240, -6.534, 2.988], [-6.839, 0.729, 1.101]], "species": ["Ac", "Al", "Al", "Al", "Al", "Al", "Al", "Al", "Al", "Al", "Al", "Al", "Re"], "frac_coords": [[0.000, 0.000, 0.000], [0.277, 0.233, 0.224], [0.723, 0.767, 0.776], [0.499, 0.767, 0.224], [0.501, 0.233, 0.776], [0.368, 0.637, 0.652], [0.632, 0.363, 0.348], [0.980, 0.363, 0.652], [0.020, 0.637, 0.348], [0.000, 0.500, 0.000], [0.500, 0.000, 0.500], [0.000, 0.000, 0.500], [0.500, 0.500, 0.000]], "spacegroup": "No. 12", "formation_energy_ev_per_atom": -0.198, "crystal_system": "monoclinic", "e_tot_ev_per_atom": -4.639, "magnetic_moment_mub_per_fu": 0.0, "vol_a3_per_atom": 17.96, "n_ef_per_ev_cell": 6.1}

***

4.
{"formula": "AcAl4Re", "functional": "GGA-PBE", "state": "optimized geometry", "lattice_angstrom": [[4.263, 0.000, 0.000], [0.000, 7.406, 0.000], [0.000, 0.000, 7.975]], "species": ["Ac", "Ac", "Al", "Al", "Al", "Al", "Al", "Al", "Al", "Al", "Re", "Re"], "frac_coords": [[0.000, 0.627, 0.750], [0.000, 0.373, 0.250], [0.000, 0.000, 0.500], [0.000, 0.000, 0.000], [0.500, 0.969, 0.750], [0.500, 0.031, 0.250], [0.500, 0.709, 0.074], [0.500, 0.291, 0.926], [0.500, 0.709, 0.426], [0.500, 0.291, 0.574], [0.000, 0.192, 0.750], [0.000, 0.808, 0.250]], "spacegroup": "No. 51", "formation_energy_ev_per_atom": -0.293, "crystal_system": "orthorhombic", "e_tot_ev_per_atom": -5.547, "magnetic_moment_mub_per_fu": 0.0, "vol_a3_per_atom": 20.98, "n_ef_per_ev_cell": 10.7}

***

5.
{"formula": "AcAl3Re", "functional": "GGA-PBE", "state": "optimized geometry", "lattice_angstrom": [[4.859, 0.000, 0.000], [0.000, 4.859, 0.000], [0.000, 0.000, 4.859]], "species": ["Re", "Ac", "Al", "Al", "Al"], "frac_coords": [[0.000, 0.000, 0.000], [0.500, 0.500, 0.500], [0.000, 0.500, 0.000], [0.000, 0.000, 0.500], [0.500, 0.000, 0.000]], "spacegroup": "No. 221", "formation_energy_ev_per_atom": -0.274, "crystal_system": "cubic", "e_tot_ev_per_atom": -5.831, "magnetic_moment_mub_per_fu": 0.0, "vol_a3_per_atom": 22.94, "n_ef_per_ev_cell": 1.2}

***

6.
{"formula": "AcAl2Re2Si", "functional": "GGA-PBE", "state": "optimized geometry", "lattice_angstrom": [[-2.933, -3.223, 1.357], [1.372, 0.569, 4.316], [-4.179, 4.133, 0.784]], "species": ["Ac", "Al", "Al", "Re", "Re", "Si"], "frac_coords": [[0.000, 0.000, 0.500], [0.500, 0.500, 0.752], [0.500, 0.500, 0.248], [0.500, 0.000, 0.000], [0.000, 0.500, 0.000], [0.000, 0.000, 0.000]], "spacegroup": "No. 123", "crystal_system": "tetragonal", "formation_energy_uncorrected_mev_per_atom": -126, "e_tot_ev_per_atom": -7.112, "magnetic_moment_mub_per_fu": 0.0, "vol_a3_per_atom": 20.59, "n_ef_per_ev_cell": 3.2}

***

7.
{"formula": "AcAl5Rh2", "functional": "GGA-PBE", "state": "optimized geometry", "lattice_angstrom": [[4.160, 0.000, 0.000], [2.080, 6.182, 0.367], [2.080, 1.497, 6.009]], "species": ["Ac", "Al", "Al", "Al", "Al", "Al", "Rh", "Rh"], "frac_coords": [[0.000, 0.000, 0.000], [0.000, 0.500, 0.500], [0.660, 0.527, 0.153], [0.340, 0.473, 0.847], [0.340, 0.847, 0.473], [0.660, 0.153, 0.527], [0.763, 0.737, 0.737], [0.237, 0.263, 0.263]], "spacegroup": "No. 71", "formation_energy_ev_per_atom": -0.766, "crystal_system": "orthorhombic", "e_tot_ev_per_atom": -5.456, "magnetic_moment_mub_per_fu": 0.0, "vol_a3_per_atom": 19.03, "n_ef_per_ev_cell": 4.0}

***

8.
{"formula": "AcAl4Rh2", "functional": "GGA-PBE", "state": "optimized geometry", "lattice_angstrom": [[-6.067, -3.784, 1.324], [-4.580, -0.654, 5.611], [-6.492, 1.126, 1.429]], "species": ["Ac", "Rh", "Rh", "Al", "Al", "Al", "Al"], "frac_coords": [[0.000, 0.000, 0.000], [0.431, 0.431, 0.861], [0.569, 0.569, 0.139], [0.596, 0.090, 0.684], [0.404, 0.910, 0.316], [0.910, 0.404, 0.316], [0.090, 0.596, 0.684]], "spacegroup": "No. 12", "formation_energy_ev_per_atom": -0.543, "crystal_system": "monoclinic", "e_tot_ev_per_atom": -5.369, "magnetic_moment_mub_per_fu": 0.0, "vol_a3_per_atom": 20.66, "n_ef_per_ev_cell": 4.3}

***

9.
{"formula": "Ac2Al7Rh", "functional": "GGA-PBE", "state": "optimized geometry", "lattice_angstrom": [[-3.383, 2.451, -1.438], [-0.073, -2.311, -3.765], [-7.140, -7.187, 4.549]], "species": ["Ac", "Ac", "Al", "Al", "Al", "Al", "Al", "Al", "Al", "Rh"], "frac_coords": [[0.500, 0.000, 0.755], [0.000, 0.500, 0.245], [0.000, 0.500, 0.881], [0.500, 0.000, 0.361], [0.500, 0.000, 0.119], [0.000, 0.500, 0.639], [0.000, 0.000, 0.500], [0.000, 0.000, 0.000], [0.500, 0.500, 0.500], [0.500, 0.500, 0.000]], "spacegroup": "No. 115", "formation_energy_ev_per_atom": -0.470, "crystal_system": "tetragonal", "e_tot_ev_per_atom": -4.646, "magnetic_moment_mub_per_fu": 0.0, "vol_a3_per_atom": 21.68, "n_ef_per_ev_cell": 3.0}

***

10.
{"formula": "AcAl2Rh", "functional": "GGA-PBE", "state": "optimized geometry", "lattice_angstrom": [[-4.612, -2.081, -3.338], [-0.199, -6.057, 4.051], [-10.260, 6.930, 9.856]], "species": ["Ac", "Ac", "Ac", "Ac", "Ac", "Ac", "Ac", "Ac", "Al", "Al", "Al", "Al", "Al", "Al", "Al", "Al", "Al", "Al", "Al", "Al", "Al", "Al", "Al", "Al", "Rh", "Rh", "Rh", "Rh", "Rh", "Rh", "Rh", "Rh"], "frac_coords": [[0.475, 0.250, 0.135], [0.975, 0.750, 0.365], [0.525, 0.750, 0.865], [0.025, 0.250, 0.635], [0.794, 0.250, 0.401], [0.294, 0.750, 0.099], [0.206, 0.750, 0.599], [0.706, 0.250, 0.901], [0.965, 0.057, 0.207], [0.465, 0.943, 0.293], [0.035, 0.557, 0.793], [0.535, 0.443, 0.707], [0.035, 0.943, 0.793], [0.535, 0.057, 0.707], [0.965, 0.443, 0.207], [0.465, 0.557, 0.293], [0.813, 0.565, 0.050], [0.313, 0.435, 0.450], [0.187, 0.065, 0.950], [0.687, 0.935, 0.550], [0.187, 0.435, 0.950], [0.687, 0.565, 0.550], [0.813, 0.935, 0.050], [0.313, 0.065, 0.450], [0.236, 0.250, 0.309], [0.736, 0.750, 0.191], [0.764, 0.750, 0.691], [0.264, 0.250, 0.809], [0.998, 0.250, 0.070], [0.498, 0.750, 0.430], [0.002, 0.750, 0.930], [0.502, 0.250, 0.570]], "spacegroup": "No. 62", "formation_energy_ev_per_atom": -0.694, "crystal_system": "orthorhombic", "e_tot_ev_per_atom": -5.430, "relative_energy_mev_per_atom": 34, "magnetic_moment_mub_per_fu": 0.0, "vol_a3_per_atom": 21.85, "n_ef_per_ev_cell": 20.1}

***

11.
{"formula": "Ac3Al7Rh4", "functional": "GGA-PBE", "state": "optimized geometry", "lattice_angstrom": [[-3.137, 0.858, 2.859], [-4.163, -7.183, 0.866], [2.727, -3.815, 7.417]], "species": ["Ac", "Ac", "Ac", "Al", "Al", "Al", "Al", "Al", "Al", "Al", "Rh", "Rh", "Rh", "Rh"], "frac_coords": [[0.304, 0.193, 0.199], [0.696, 0.807, 0.801], [0.000, 0.500, 0.500], [0.316, 0.856, 0.512], [0.496, 0.215, 0.793], [0.847, 0.383, 0.922], [0.684, 0.144, 0.488], [0.153, 0.617, 0.078], [0.000, 0.000, 0.000], [0.504, 0.785, 0.207], [0.658, 0.474, 0.209], [0.342, 0.526, 0.791], [0.890, 0.890, 0.331], [0.110, 0.110, 0.669]], "spacegroup": "No. 12", "formation_energy_ev_per_atom": -0.688, "crystal_system": "monoclinic", "e_tot_ev_per_atom": -5.540, "magnetic_moment_mub_per_fu": 0.0, "vol_a3_per_atom": 20.48, "n_ef_per_ev_cell": 7.4}

***

12.
{"formula": "Ac2Al5Rh4", "functional": "GGA-PBE", "state": "optimized geometry", "lattice_angstrom": [[5.069, 0.000, 2.420], [2.534, 5.271, 1.210], [-0.681, 0.000, 7.947]], "species": ["Ac", "Ac", "Al", "Al", "Al", "Al", "Al", "Rh", "Rh", "Rh", "Rh"], "frac_coords": [[0.852, 0.000, 0.295], [0.148, 0.000, 0.705], [0.500, 0.000, 0.000], [0.000, 0.500, 0.000], [0.500, 0.500, 0.000], [0.250, 0.500, 0.500], [0.750, 0.500, 0.500], [0.469, 0.313, 0.749], [0.531, 0.687, 0.251], [0.218, 0.313, 0.251], [0.782, 0.687, 0.749]], "spacegroup": "No. 69", "formation_energy_ev_per_atom": -0.777, "crystal_system": "orthorhombic", "e_tot_ev_per_atom": -5.898, "magnetic_moment_mub_per_fu": 0.0, "vol_a3_per_atom": 20.09, "n_ef_per_ev_cell": 5.9}